Computed, not measured: crystalline RbY2CrHg at its relaxed geometry at the GGA-PBE level of DFT.

a b c (Å): 5.182 5.182 6.215
angles (deg): 90.00 90.00 90.00
Fractional coordinates of all 5 atoms:
Rb1 0.000 0.000 0.000
Y1 0.000 0.500 0.500
Y2 0.500 0.000 0.500
Cr1 0.000 0.000 0.500
Hg1 0.500 0.500 0.000

* spin magnetization: 0.000 μB/atom
* energy relative to the elements: 795 meV per atom
* volume: 33.372 Å³/atom